Entry 1:
Cu2IrOs: relaxed, PBE.

Properties
Its volume is 110 Å³ per cell. The calculation puts the distance to the lowest polymorph of the same formula at 0.222 eV per atom.

a b c (Å): 2.7054 4.5505 8.9144
angles (deg): 90.00 90.00 90.00
Closest atoms and distances in Å follow each position.
Space group Cmmm (No. 65)
Inequivalent atoms, fractional coordinates:
Cu 0.0000 0.0000 0.2495 (multiplicity 4)  2 Ir 2.60, 2 Os 2.61, 6 Cu 2.65-2.71
Ir 0.0000 0.5000 0.0000 (multiplicity 2)  4 Cu 2.60, 6 Ir 2.65-2.71
Os 0.0000 0.5000 0.5000 (multiplicity 2)  4 Cu 2.61, 6 Os 2.65-2.71


Entry 2:
CuIrOs2: relaxed, PBE.

Properties
Its volume is 111 Å³ per cell. The calculation puts the distance to the lowest polymorph of the same formula at 0.270 eV per atom.

a b c (Å): 2.8261 4.4481 8.8514
angles (deg): 90.00 90.00 90.00
Closest atoms and distances in Å follow each position.
Space group Imm2 (No. 44)
Inequivalent atoms, fractional coordinates:
Cu 0.0000 0.0000 0.0000 (multiplicity 2)  2 Ir 2.50, 6 Os 2.50-2.64
Ir 0.0000 0.5000 0.7333 (multiplicity 2)  2 Cu 2.50, 4 Os 2.65
Os 0.0000 0.0000 0.5078 (multiplicity 2)  4 Cu 2.64, 4 Os 2.69-2.83, 2 Ir 2.81
Os 0.0000 0.5000 0.2664 (multiplicity 2)  2 Cu 2.50, 4 Ir 2.65, 2 Os 2.69


Entry 3:
Cu2IrOs: relaxed, PBE.

Properties
Its volume is 55 Å³ per cell. The calculation puts the distance to the lowest polymorph of the same formula at 0.201 eV per atom.

a b c (Å): 2.6487 4.4743 4.6313
angles (deg): 90.00 90.65 90.00
Closest atoms and distances in Å follow each position.
Space group P2/m (No. 10)
Inequivalent atoms, fractional coordinates:
Cu 0.2355 0.0000 0.2467 (multiplicity 2)  6 Cu 2.59-2.72, 2 Ir 2.61, 2 Os 2.61
Ir 0.0000 0.5000 0.5000 (multiplicity 1)  4 Cu 2.61, 2 Ir 2.65, 4 Os 2.65-2.68
Os 0.5000 0.5000 0.0000 (multiplicity 1)  4 Cu 2.61, 2 Os 2.65, 4 Ir 2.65-2.68


Entry 4:
CuIrOs2: relaxed, PBE.

Properties
Its volume is 56 Å³ per cell. The calculation puts the distance to the lowest polymorph of the same formula at 0.019 eV per atom.

a b c (Å): 2.7438 2.7438 7.3986
angles (deg): 90.00 90.00 90.00
Closest atoms and distances in Å follow each position.
Space group P4mm (No. 99)
Inequivalent atoms, fractional coordinates:
Cu 0.0000 0.0000 0.0000 (multiplicity 1)  4 Ir 2.67, 4 Os 2.68, 4 Cu 2.74
Ir 0.5000 0.5000 0.2470 (multiplicity 1)  4 Cu 2.67, 4 Os 2.71, 4 Ir 2.74
Os 0.0000 0.0000 0.5025 (multiplicity 1)  8 Os 2.67-2.74, 4 Ir 2.71
Os 0.5000 0.5000 0.7506 (multiplicity 1)  8 Os 2.67-2.74, 4 Cu 2.68


Entry 5:
CuIrOs2: relaxed, PBE.

Properties
Its volume is 227 Å³ per cell. The calculation puts the distance to the lowest polymorph of the same formula at 0.459 eV per atom.

a b c (Å): 6.0960 6.0960 6.0960
angles (deg): 90.00 90.00 90.00
Closest atoms and distances in Å follow each position.
Space group Fm-3m (No. 225)
Inequivalent atoms, fractional coordinates:
Cu 0.0000 0.0000 0.0000 (multiplicity 4)  8 Os 2.64
Ir 0.0000 0.0000 0.5000 (multiplicity 4)  8 Os 2.64
Os 0.2500 0.2500 0.2500 (multiplicity 8)  4 Ir 2.64, 4 Cu 2.64


Entry 6:
Cu2IrOs: relaxed, PBE.

Properties
Its volume is 54 Å³ per cell. The calculation puts the distance to the lowest polymorph of the same formula at 0.328 eV per atom.

a b c (Å): 3.7545 3.7545 3.8057
angles (deg): 90.00 90.00 90.00
Closest atoms and distances in Å follow each position.
Space group P4/mmm (No. 123)
Inequivalent atoms, fractional coordinates:
Cu 0.0000 0.5000 0.0000 (multiplicity 2)  4 Cu 2.65, 4 Ir 2.67, 4 Os 2.67
Ir 0.0000 0.0000 0.5000 (multiplicity 1)  4 Os 2.65, 8 Cu 2.67
Os 0.5000 0.5000 0.5000 (multiplicity 1)  4 Ir 2.65, 8 Cu 2.67


Entry 7:
Cu2IrOs: relaxed, PBE.

Properties
Its volume is 105 Å³ per cell. The calculation puts the distance to the lowest polymorph of the same formula at 0.194 eV per atom.

a b c (Å): 2.8765 4.3110 8.4935
angles (deg): 90.00 90.00 90.00
Closest atoms and distances in Å follow each position.
Space group Imm2 (No. 44)
Inequivalent atoms, fractional coordinates:
Cu 0.0000 0.0000 0.0000 (multiplicity 2)  2 Cu 2.43, 4 Ir 2.59, 2 Os 2.61
Cu 0.0000 0.5000 0.2701 (multiplicity 2)  2 Cu 2.43, 4 Os 2.59, 2 Ir 2.61
Ir 0.0000 0.0000 0.5143 (multiplicity 2)  6 Cu 2.59-2.61, 2 Os 2.62, 2 Ir 2.88
Os 0.0000 0.5000 0.7571 (multiplicity 2)  6 Cu 2.59-2.61, 2 Ir 2.62, 2 Os 2.88


Entry 8:
Cu2IrOs: relaxed, PBE.

Properties
Its volume is 54 Å³ per cell. The calculation puts the distance to the lowest polymorph of the same formula at 0.295 eV per atom.

a b c (Å): 2.6567 3.8254 5.2767
angles (deg): 90.00 90.00 90.00
Closest atoms and distances in Å follow each position.
Space group Pmmm (No. 47)
Inequivalent atoms, fractional coordinates:
Cu 0.0000 0.0000 0.2486 (multiplicity 2)  4 Cu 2.62-2.66, 4 Os 2.67, 4 Ir 2.68
Ir 0.5000 0.5000 0.5000 (multiplicity 1)  2 Os 2.64, 2 Ir 2.66, 8 Cu 2.68
Os 0.5000 0.5000 0.0000 (multiplicity 1)  2 Ir 2.64, 2 Os 2.66, 8 Cu 2.67


Number 1: formation energy from the elements 0.34 eV/atom, magnetic moment 0.0 Bohr magnetons per cell. Number 2: formation energy from the elements 0.43 eV/atom, magnetic moment 0.0 Bohr magnetons per cell. Number 3: formation energy from the elements 0.32 eV/atom, magnetic moment 0.0 Bohr magnetons per cell. Number 4: formation energy from the elements 0.18 eV/atom, magnetic moment 0.0 Bohr magnetons per cell. Number 5: formation energy from the elements 0.62 eV/atom, magnetic moment 3.0 Bohr magnetons per cell. Number 6: formation energy from the elements 0.44 eV/atom, magnetic moment 0.0 Bohr magnetons per cell. Number 7: formation energy from the elements 0.31 eV/atom, magnetic moment 0.0 Bohr magnetons per cell. Number 8: formation energy from the elements 0.41 eV/atom, magnetic moment 0.0 Bohr magnetons per cell.